No. 1
Entry from the Alexandria database: an optimized crystal structure of TbPm7Sm3 (PBE).

For the energy above the most stable polymorph in this dataset, the calculation gives 54 meV/atom.

Structure (POSCAR):
```
TbPm7Sm3
1.0
8.747 0.000 0.000
0.000 7.211 0.000
0.000 -3.606 6.245
Tb Pm Sm
1 7 3
Direct
0.444 0.333 0.667
0.115 0.167 0.833
0.115 0.167 0.335
0.123 0.667 0.333
0.452 0.833 0.167
0.452 0.334 0.167
0.452 0.833 0.666
0.115 0.665 0.833
0.782 0.500 0.500
0.782 0.500 0.999
0.782 0.001 0.500
```


No. 2
Entry from the Alexandria database: an optimized crystal structure of Tb7Pm4Sm (PBE).

For the energy above the most stable polymorph in this dataset, the calculation gives 172 meV/atom.

Structure (POSCAR):
```
Tb7Pm4Sm
1.0
-4.657 -3.400 -1.481
-1.072 -7.590 8.833
-6.045 2.143 2.125
Tb Pm Sm
7 4 1
Direct
0.789 0.923 0.499
0.211 0.077 0.501
0.066 0.681 0.188
0.934 0.319 0.812
0.368 0.498 0.765
0.500 0.000 0.000
0.632 0.502 0.235
0.637 0.223 0.503
0.363 0.777 0.497
0.767 0.673 0.793
0.233 0.327 0.207
0.000 0.000 0.000
```


No. 3
Entry from the Alexandria database: an optimized crystal structure of Tb8PmSm2 (PBE).

For the energy above the most stable polymorph in this dataset, the calculation gives 46 meV/atom.

Structure (POSCAR):
```
Tb8PmSm2
1.0
5.556 -0.529 -0.370
0.611 9.803 2.560
0.611 5.778 8.323
Tb Pm Sm
8 1 2
Direct
0.267 0.136 0.602
0.267 0.602 0.136
0.733 0.864 0.398
0.237 0.546 0.546
0.733 0.398 0.864
0.233 0.187 0.187
0.767 0.813 0.813
0.763 0.454 0.454
0.000 0.000 0.000
0.747 0.284 0.284
0.253 0.716 0.716
```


No. 4
Entry from the Alexandria database: an optimized crystal structure of Tb2Pm5Sm5 (PBE).

Structure (POSCAR):
```
Tb2Pm5Sm5
1.0
0.209 -4.977 -1.190
6.670 -1.294 -4.440
7.636 -3.914 6.690
Tb Pm Sm
2 5 5
Direct
0.917 0.417 0.750
0.083 0.583 0.250
0.500 0.500 0.500
0.333 0.334 0.000
0.417 0.916 0.250
0.583 0.084 0.750
0.667 0.666 0.000
0.834 0.833 0.500
0.251 0.749 0.749
0.749 0.251 0.251
0.166 0.167 0.500
0.000 0.000 0.000
```


No. 5
Entry from the Alexandria database: an optimized crystal structure of TbPm12Sm5 (PBE).

Structure (POSCAR):
```
TbPm12Sm5
1.0
-7.679 5.049 -6.804
-10.192 -2.797 -0.182
-1.186 4.049 4.350
Tb Pm Sm
1 12 5
Direct
0.000 0.000 0.000
0.826 0.000 0.451
0.174 0.000 0.549
0.676 0.000 0.951
0.324 0.000 0.049
0.340 0.668 0.954
0.992 0.668 0.046
0.008 0.332 0.954
0.660 0.332 0.046
0.508 0.333 0.547
0.841 0.667 0.547
0.159 0.333 0.453
0.492 0.667 0.453
0.500 0.000 0.500
0.166 0.668 0.500
0.834 0.332 0.500
0.667 0.667 0.000
0.334 0.333 0.000
```


No. 6
Entry from the Alexandria database: an optimized crystal structure of Tb6Pm12Sm (PBE).

For the energy above the most stable polymorph in this dataset, the calculation gives 0 meV/atom.

Structure (POSCAR):
```
Tb6Pm12Sm
1.0
-8.376 2.072 0.799
0.348 -1.234 8.570
2.018 8.330 1.278
Tb Pm Sm
6 12 1
Direct
0.740 0.903 0.301
0.699 0.260 0.097
0.097 0.699 0.260
0.260 0.097 0.699
0.301 0.740 0.903
0.903 0.301 0.740
0.779 0.537 0.433
0.433 0.779 0.537
0.537 0.433 0.779
0.221 0.463 0.567
0.567 0.221 0.463
0.463 0.567 0.221
0.017 0.198 0.361
0.802 0.639 0.983
0.639 0.983 0.802
0.983 0.802 0.639
0.198 0.361 0.017
0.361 0.017 0.198
0.000 0.000 0.000
```


No. 7
Entry from the Alexandria database: an optimized crystal structure of Tb6Pm4Sm19 (PBE).

Structure (POSCAR):
```
Tb6Pm4Sm19
1.0
10.308 0.000 -3.644
-5.154 8.927 -3.645
0.000 0.000 10.933
Tb Pm Sm
6 4 19
Direct
0.376 0.500 0.876
0.624 0.500 0.124
0.124 0.624 0.500
0.876 0.376 0.500
0.500 0.876 0.376
0.500 0.124 0.624
0.000 0.000 0.636
0.000 0.636 0.000
0.364 0.364 0.364
0.636 0.000 0.000
0.741 0.000 0.741
0.259 0.000 0.259
0.259 0.259 0.000
0.741 0.741 0.000
0.000 0.741 0.741
0.000 0.259 0.259
0.000 0.000 0.000
0.202 0.221 0.544
0.798 0.342 0.019
0.677 0.658 0.456
0.019 0.798 0.342
0.323 0.779 0.981
0.544 0.202 0.221
0.981 0.323 0.779
0.456 0.677 0.658
0.779 0.981 0.323
0.342 0.019 0.798
0.221 0.544 0.202
0.658 0.456 0.677
```


No. 8
Entry from the Alexandria database: an optimized crystal structure of Tb5PmSm6 (PBE).

For the energy above the most stable polymorph in this dataset, the calculation gives 0 meV/atom.

Structure (POSCAR):
```
Tb5PmSm6
1.0
-2.952 7.190 9.050
-5.092 -2.932 2.103
0.524 -4.405 4.389
Tb Pm Sm
5 1 6
Direct
0.500 0.167 0.666
0.000 0.333 0.333
0.500 0.500 0.000
0.000 0.667 0.667
0.500 0.833 0.334
0.000 0.000 0.000
0.749 0.083 0.334
0.251 0.583 0.334
0.251 0.251 0.000
0.749 0.749 0.000
0.749 0.417 0.666
0.251 0.917 0.666
```


No. 9
Entry from the Alexandria database: an optimized crystal structure of Tb7Pm4Sm (PBE).

For the energy above the most stable polymorph in this dataset, the calculation gives 0 meV/atom.

Structure (POSCAR):
```
Tb7Pm4Sm
1.0
6.719 1.367 0.553
4.461 7.351 2.086
-1.334 -0.591 9.015
Tb Pm Sm
7 4 1
Direct
0.736 0.513 0.949
0.264 0.487 0.051
0.984 0.317 0.640
0.016 0.683 0.360
0.294 0.810 0.615
0.500 0.000 0.000
0.706 0.190 0.385
0.554 0.639 0.283
0.446 0.361 0.717
0.773 0.839 0.690
0.227 0.161 0.310
0.000 0.000 0.000
```


No. 10
Entry from the Alexandria database: an optimized crystal structure of Tb7Pm2Sm (PBE).

For the energy above the most stable polymorph in this dataset, the calculation gives 146 meV/atom.

Structure (POSCAR):
```
Tb7Pm2Sm
1.0
3.512 0.000 0.000
0.000 14.066 -4.804
0.000 -10.634 10.386
Tb Pm Sm
7 2 1
Direct
0.000 0.814 0.186
0.000 0.186 0.814
0.500 0.148 0.346
0.500 0.852 0.654
0.500 0.346 0.148
0.500 0.654 0.852
0.500 0.500 0.500
0.500 0.707 0.293
0.500 0.293 0.707
0.000 0.000 0.000
```


No. 11
Entry from the Alexandria database: an optimized crystal structure of TbPm4Sm2 (PBE).

For the energy above the most stable polymorph in this dataset, the calculation gives 140 meV/atom.

Structure (POSCAR):
```
TbPm4Sm2
1.0
-1.951 -4.591 2.068
8.648 -0.300 7.496
-8.517 8.193 10.154
Tb Pm Sm
4 16 8
Direct
0.000 0.000 0.500
0.500 0.500 0.500
0.000 0.500 0.000
0.500 0.000 0.000
0.000 0.707 0.570
0.500 0.793 0.430
0.000 0.207 0.930
0.500 0.293 0.070
0.000 0.293 0.430
0.500 0.207 0.570
0.000 0.793 0.070
0.500 0.707 0.930
0.000 0.101 0.694
0.500 0.399 0.306
0.000 0.601 0.806
0.500 0.899 0.194
0.000 0.899 0.306
0.500 0.601 0.694
0.000 0.399 0.194
0.500 0.101 0.806
0.000 0.894 0.843
0.500 0.606 0.157
0.000 0.394 0.657
0.500 0.106 0.343
0.000 0.106 0.157
0.500 0.394 0.843
0.000 0.606 0.343
0.500 0.894 0.657
```


No. 12
Entry from the Alexandria database: an optimized crystal structure of Tb5Pm2Sm12 (PBE).

For the energy above the most stable polymorph in this dataset, the calculation gives 26 meV/atom.

Structure (POSCAR):
```
Tb5Pm2Sm12
1.0
10.168 0.000 0.000
-5.084 7.974 -0.542
0.000 0.650 7.919
Tb Pm Sm
5 2 12
Direct
0.247 0.493 0.510
0.353 0.705 0.083
0.000 0.000 0.500
0.647 0.295 0.917
0.753 0.507 0.490
0.772 0.000 0.000
0.228 0.000 0.000
0.842 0.685 0.121
0.039 0.614 0.794
0.574 0.614 0.794
0.168 0.789 0.390
0.620 0.789 0.390
0.448 0.897 0.710
0.552 0.103 0.290
0.832 0.211 0.610
0.380 0.211 0.610
0.961 0.386 0.206
0.426 0.386 0.206
0.158 0.315 0.879
```


No. 13
Entry from the Alexandria database: an optimized crystal structure of Tb6Pm3Sm2 (PBE).

For the energy above the most stable polymorph in this dataset, the calculation gives 74 meV/atom.

Structure (POSCAR):
```
Tb6Pm3Sm2
1.0
-3.625 2.401 1.984
-3.092 -2.404 -2.738
2.040 -11.731 12.167
Tb Pm Sm
6 3 2
Direct
0.121 0.621 0.241
0.621 0.121 0.241
0.879 0.379 0.759
0.379 0.879 0.759
0.695 0.695 0.390
0.305 0.305 0.610
0.000 0.000 0.000
0.798 0.798 0.596
0.202 0.202 0.404
0.454 0.454 0.908
0.546 0.546 0.092
```


No. 14
Entry from the Alexandria database: an optimized crystal structure of Tb2Pm2Sm7 (PBE).

For the energy above the most stable polymorph in this dataset, the calculation gives 26 meV/atom.

Structure (POSCAR):
```
Tb2Pm2Sm7
1.0
8.265 0.966 1.394
0.217 6.663 1.340
0.217 -1.085 6.709
Tb Pm Sm
2 2 7
Direct
0.500 0.192 0.808
0.500 0.808 0.192
0.837 0.406 0.406
0.163 0.594 0.594
0.180 0.099 0.506
0.820 0.494 0.901
0.820 0.901 0.494
0.180 0.506 0.099
0.000 0.000 0.000
0.483 0.700 0.700
0.517 0.300 0.300
```


No. 15
Entry from the Alexandria database: an optimized crystal structure of Tb4Pm8Sm3 (PBE).

Structure (POSCAR):
```
Tb4Pm8Sm3
1.0
-0.862 -5.325 4.330
8.657 3.385 0.331
-1.938 8.137 4.067
Tb Pm Sm
4 8 3
Direct
0.500 0.000 0.000
0.000 0.500 0.000
0.000 0.000 0.000
0.000 0.000 0.500
0.788 0.296 0.296
0.000 0.704 0.296
0.236 0.247 0.247
0.500 0.752 0.248
0.500 0.248 0.752
0.764 0.753 0.753
0.000 0.296 0.704
0.212 0.704 0.704
0.500 0.500 0.000
0.500 0.000 0.500
0.500 0.500 0.500
```


No. 16
Entry from the Alexandria database: an optimized crystal structure of Tb8Pm6Sm (PBE).

For the energy above the most stable polymorph in this dataset, the calculation gives 0 meV/atom.

Structure (POSCAR):
```
Tb8Pm6Sm
1.0
-4.974 -6.685 -3.773
3.982 -7.890 -2.357
-1.674 -7.422 4.269
Tb Pm Sm
8 6 1
Direct
0.254 0.281 0.577
0.719 0.112 0.423
0.112 0.746 0.423
0.577 0.577 0.270
0.423 0.423 0.730
0.888 0.254 0.577
0.281 0.888 0.577
0.746 0.719 0.423
0.462 0.896 0.873
0.104 0.231 0.127
0.231 0.538 0.127
0.769 0.462 0.873
0.896 0.769 0.873
0.538 0.104 0.127
0.000 0.000 0.000
```


No. 17
Entry from the Alexandria database: an optimized crystal structure of Tb4Pm3Sm2 (PBE).

For the energy above the most stable polymorph in this dataset, the calculation gives 0 meV/atom.

Structure (POSCAR):
```
Tb4Pm3Sm2
1.0
6.187 -0.348 -0.738
-3.284 4.279 -3.152
-1.657 -0.921 12.848
Tb Pm Sm
4 3 2
Direct
0.666 0.334 0.000
0.334 0.666 0.000
0.890 0.779 0.667
0.110 0.221 0.333
0.556 0.111 0.667
0.000 0.000 0.000
0.444 0.889 0.333
0.777 0.555 0.333
0.223 0.445 0.667
```


No. 18
Entry from the Alexandria database: an optimized crystal structure of Tb2Pm7Sm (PBE).

For the energy above the most stable polymorph in this dataset, the calculation gives 0 meV/atom.

Structure (POSCAR):
```
Tb2Pm7Sm
1.0
-2.188 0.796 -2.629
-8.096 -2.807 5.889
1.918 10.113 1.465
Tb Pm Sm
2 7 1
Direct
0.500 0.831 0.169
0.500 0.169 0.831
0.000 0.676 0.324
0.000 0.324 0.676
0.500 0.126 0.386
0.500 0.874 0.614
0.500 0.386 0.126
0.500 0.614 0.874
0.500 0.500 0.500
0.000 0.000 0.000
```


no.,energy of formation (meV per atom),energy (eV per atom)
1,174,-4.56
2,256,-4.42
3,158,-4.50
4,14,-4.70
5,108,-4.63
6,136,-4.57
7,367,-4.34
8,13,-4.67
9,85,-4.59
10,162,-4.50
11,150,-4.57
12,126,-4.57
13,263,-4.42
14,173,-4.54
15,332,-4.38
16,121,-4.56
17,14,-4.68
18,386,-4.34